w) ## KAgP2 (GGA-PBEsol)

Data for a relaxed KAgP2 crystal.

```
data_KAgP2
_space_group_name_H-M_alt 'P 1'
_space_group_IT_number 1
_cell_length_a 3.3027
_cell_length_b 3.3027
_cell_length_c 8.8551
_cell_angle_alpha 79.25
_cell_angle_beta 79.25
_cell_angle_gamma 60.00
loop_
_space_group_symop_operation_xyz
'x,y,z'
loop_
_atom_site_label
_atom_site_type_symbol
_atom_site_fract_x
_atom_site_fract_y
_atom_site_fract_z
Ag1 Ag 0.4813 0.4813 0.5560
K1 K 0.2564 0.2564 0.2307
P1 P 0.0228 0.0228 0.9317
P2 P 0.7395 0.7395 0.7816
```

x) ## KAgP2 (GGA-PBEsol)

Data for a relaxed KAgP2 crystal.

```
data_KAgP2
_space_group_name_H-M_alt 'P 1'
_space_group_IT_number 1
_cell_length_a 4.4143
_cell_length_b 4.4143
_cell_length_c 6.2120
_cell_angle_alpha 69.19
_cell_angle_beta 69.19
_cell_angle_gamma 60.00
loop_
_space_group_symop_operation_xyz
'x,y,z'
loop_
_atom_site_label
_atom_site_type_symbol
_atom_site_fract_x
_atom_site_fract_y
_atom_site_fract_z
Ag1 Ag 0.5000 0.5000 0.5000
K1 K 0.0000 0.0000 0.0000
P1 P 0.1907 0.1907 0.4279
P2 P 0.8093 0.8093 0.5721
```

It is x) that is the most stable of them.

w) ## K2RbAg2 (GGA-PBEsol)

Data for a relaxed K2RbAg2 crystal.

```
data_K2RbAg2
_space_group_name_H-M_alt 'P 1'
_space_group_IT_number 1
_cell_length_a 4.8720
_cell_length_b 8.9183
_cell_length_c 8.9183
_cell_angle_alpha 90.00
_cell_angle_beta 90.00
_cell_angle_gamma 90.00
loop_
_space_group_symop_operation_xyz
'x,y,z'
loop_
_atom_site_label
_atom_site_type_symbol
_atom_site_fract_x
_atom_site_fract_y
_atom_site_fract_z
K1 K 0.5000 0.1629 0.6629
K2 K 0.5000 0.6629 0.8371
K3 K 0.5000 0.8371 0.3371
K4 K 0.5000 0.3371 0.1629
Rb1 Rb 0.0000 0.0000 0.0000
Rb2 Rb 0.0000 0.5000 0.5000
Ag1 Ag 0.0000 0.3900 0.8900
Ag2 Ag 0.0000 0.8900 0.6100
Ag3 Ag 0.0000 0.6100 0.1100
Ag4 Ag 0.0000 0.1100 0.3900
```

x) ## K2RbAg2 (GGA-PBEsol)

Data for a relaxed K2RbAg2 crystal.

```
data_K2RbAg2
_space_group_name_H-M_alt 'P 1'
_space_group_IT_number 1
_cell_length_a 5.2796
_cell_length_b 5.2796
_cell_length_c 8.0701
_cell_angle_alpha 109.09
_cell_angle_beta 109.09
_cell_angle_gamma 90.00
loop_
_space_group_symop_operation_xyz
'x,y,z'
loop_
_atom_site_label
_atom_site_type_symbol
_atom_site_fract_x
_atom_site_fract_y
_atom_site_fract_z
K1 K 0.2500 0.7500 0.5000
K2 K 0.7500 0.2500 0.5000
Rb1 Rb 0.0000 0.0000 0.0000
Ag1 Ag 0.4057 0.4057 0.8115
Ag2 Ag 0.5943 0.5943 0.1885
```

It is w) that is the most stable of them.

w) ## KReAg2 (GGA-PBEsol)

Data for a relaxed KReAg2 crystal.

```
data_KReAg2
_space_group_name_H-M_alt 'P 1'
_space_group_IT_number 1
_cell_length_a 2.6585
_cell_length_b 5.2160
_cell_length_c 6.2657
_cell_angle_alpha 114.60
_cell_angle_beta 102.25
_cell_angle_gamma 90.00
loop_
_space_group_symop_operation_xyz
'x,y,z'
loop_
_atom_site_label
_atom_site_type_symbol
_atom_site_fract_x
_atom_site_fract_y
_atom_site_fract_z
Ag1 Ag 0.9991 0.9991 0.9981
Ag2 Ag 0.7260 0.2260 0.4521
K1 K 0.4959 0.4959 0.9917
Re1 Re 0.2790 0.7790 0.5581
```

x) ## KReAg2 (GGA-PBEsol)

Data for a relaxed KReAg2 crystal.

```
data_KReAg2
_space_group_name_H-M_alt 'P 1'
_space_group_IT_number 1
_cell_length_a 2.7192
_cell_length_b 2.7192
_cell_length_c 10.4288
_cell_angle_alpha 90.00
_cell_angle_beta 90.00
_cell_angle_gamma 108.70
loop_
_space_group_symop_operation_xyz
'x,y,z'
loop_
_atom_site_label
_atom_site_type_symbol
_atom_site_fract_x
_atom_site_fract_y
_atom_site_fract_z
Ag1 Ag 0.0000 0.0000 0.0021
Ag2 Ag 0.5000 0.5000 0.7789
K1 K 0.0000 0.0000 0.4961
Re1 Re 0.5000 0.5000 0.2229
```

It is x) that is the most stable of them.

w) ## KReAg (GGA-PBEsol)

Data for a relaxed KReAg crystal.

```
data_KReAg
_space_group_name_H-M_alt 'P 1'
_space_group_IT_number 1
_cell_length_a 2.6236
_cell_length_b 4.4679
_cell_length_c 6.4881
_cell_angle_alpha 110.14
_cell_angle_beta 101.66
_cell_angle_gamma 90.00
loop_
_space_group_symop_operation_xyz
'x,y,z'
loop_
_atom_site_label
_atom_site_type_symbol
_atom_site_fract_x
_atom_site_fract_y
_atom_site_fract_z
Ag1 Ag 0.9476 0.9476 0.8952
K1 K 0.6655 0.6655 0.3310
Re1 Re 0.3869 0.3869 0.7738
```

x) ## KReAg (GGA-PBEsol)

Data for a relaxed KReAg crystal.

```
data_KReAg
_space_group_name_H-M_alt 'P 1'
_space_group_IT_number 1
_cell_length_a 2.5957
_cell_length_b 5.1821
_cell_length_c 5.1821
_cell_angle_alpha 120.00
_cell_angle_beta 90.00
_cell_angle_gamma 90.00
loop_
_space_group_symop_operation_xyz
'x,y,z'
loop_
_atom_site_label
_atom_site_type_symbol
_atom_site_fract_x
_atom_site_fract_y
_atom_site_fract_z
Ag1 Ag 0.9701 0.0000 0.0000
K1 K 0.6923 0.3333 0.6667
Re1 Re 0.3376 0.6667 0.3333
```

It is w) that is the most stable of them.

w) ## KAgRh2 (GGA-PBEsol)

Data for a relaxed KAgRh2 crystal.

```
data_KAgRh2
_space_group_name_H-M_alt 'P 1'
_space_group_IT_number 1
_cell_length_a 2.7952
_cell_length_b 3.6597
_cell_length_c 7.7097
_cell_angle_alpha 90.00
_cell_angle_beta 90.00
_cell_angle_gamma 90.00
loop_
_space_group_symop_operation_xyz
'x,y,z'
loop_
_atom_site_label
_atom_site_type_symbol
_atom_site_fract_x
_atom_site_fract_y
_atom_site_fract_z
Ag1 Ag 0.0000 0.0000 0.4361
K1 K 0.5000 0.5000 0.7648
Rh1 Rh 0.0000 0.0000 0.0829
Rh2 Rh 0.5000 0.5000 0.2162
```

x) ## KAgRh2 (GGA-PBEsol)

Data for a relaxed KAgRh2 crystal.

```
data_KAgRh2
_space_group_name_H-M_alt 'P 1'
_space_group_IT_number 1
_cell_length_a 2.7227
_cell_length_b 4.8604
_cell_length_c 5.8197
_cell_angle_alpha 111.27
_cell_angle_beta 103.53
_cell_angle_gamma 90.00
loop_
_space_group_symop_operation_xyz
'x,y,z'
loop_
_atom_site_label
_atom_site_type_symbol
_atom_site_fract_x
_atom_site_fract_y
_atom_site_fract_z
Ag1 Ag 0.0000 0.5000 0.0000
K1 K 0.5000 0.0000 0.0000
Rh1 Rh 0.2717 0.2761 0.5434
Rh2 Rh 0.7283 0.7239 0.4566
```

It is w) that is the most stable of them.

w) ## K2AgRh (GGA-PBEsol)

Data for a relaxed K2AgRh crystal.

```
data_K2AgRh
_space_group_name_H-M_alt 'P 1'
_space_group_IT_number 1
_cell_length_a 2.9274
_cell_length_b 5.0891
_cell_length_c 6.0583
_cell_angle_alpha 90.00
_cell_angle_beta 90.03
_cell_angle_gamma 90.00
loop_
_space_group_symop_operation_xyz
'x,y,z'
loop_
_atom_site_label
_atom_site_type_symbol
_atom_site_fract_x
_atom_site_fract_y
_atom_site_fract_z
Ag1 Ag 0.5000 0.5000 0.0000
K1 K 0.0011 0.0000 0.7416
K2 K 0.9989 0.0000 0.2584
Rh1 Rh 0.5000 0.5000 0.5000
```

x) ## K2AgRh (GGA-PBEsol)

Data for a relaxed K2AgRh crystal.

```
data_K2AgRh
_space_group_name_H-M_alt 'P 1'
_space_group_IT_number 1
_cell_length_a 5.0558
_cell_length_b 5.0558
_cell_length_c 5.0558
_cell_angle_alpha 60.00
_cell_angle_beta 60.00
_cell_angle_gamma 60.00
loop_
_space_group_symop_operation_xyz
'x,y,z'
loop_
_atom_site_label
_atom_site_type_symbol
_atom_site_fract_x
_atom_site_fract_y
_atom_site_fract_z
Ag1 Ag 0.2500 0.2500 0.2500
K1 K 0.0000 0.0000 0.0000
K2 K 0.7500 0.7500 0.7500
Rh1 Rh 0.5000 0.5000 0.5000
```

It is x) that is the most stable of them.